A relaxed structure of Tl2Zn2Te. Source: the Alexandria database, functional GGA-PBE.

## Properties
* density of states at the Fermi level: 2.0 states/eV/cell
* symmetry: No. 139
* E above lowest polymorph: 146 meV per atom
* energy: -1.9402 eV/atom
* formation energy from raw total energies: 0.1442 eV/atom

Cell lengths 6.9288, 6.9288, 6.9288 Å; angles 140.27, 140.27, 57.44 degrees
Element x y z (fractional)
Tl1 0.2500 0.7500 0.5000
Tl2 0.7500 0.2500 0.5000
Zn1 0.0982 0.0982 0.0000
Zn2 0.9018 0.9018 0.0000
Te1 0.5000 0.5000 0.0000